This record from the Alexandria database describes a relaxed TeW2O crystal. The functional is PBE+U.

Cell: 5.423 5.423 7.437 Å, 68.62 68.62 90.00°
Element x y z (fractional)
Te 0.000 0.000 0.000
Te 0.750 0.250 0.500
O 0.500 0.500 0.000
O 0.250 0.750 0.500
W 0.493 0.125 0.250
W 0.257 0.625 0.250
W 0.375 0.507 0.750
W 0.875 0.743 0.750

- Size of the total moment: 14.054 μB per cell
- Final energy: -21.38 eV per formula unit
- Energy above the lowest structure with this stoichiometry: 0 meV/atom
- Calculated volume: 187.4 Å³ per cell